Entry 1:
NpTa2V: optimized geometry, PBE.

The structure in CIF format:
```
data_NpTa2V
_cell_length_a 3.132
_cell_length_b 3.132
_cell_length_c 7.475
_cell_angle_alpha 90.00
_cell_angle_beta 90.00
_cell_angle_gamma 90.00
_space_group_name_H-M_alt 'P 4/m m m'
_space_group_IT_number 123
_space_group_name_Hall '-P 4 2'
loop_
_atom_site_label
_atom_site_type_symbol
_atom_site_fract_x
_atom_site_fract_y
_atom_site_fract_z
Np1 Np 0.000 0.000 0.000
Ta1 Ta 0.500 0.500 0.290
V1 V 0.000 0.000 0.500
```

energy relative to the elements	312.2	meV/atom
crystal system	tetragonal
polymorph energy (0 for the lowest one)	0	meV per atom

***

Entry 2:
Ca4PtRh: optimized geometry, PBE.

The structure in CIF format:
```
data_Ca4PtRh
_cell_length_a 9.172
_cell_length_b 13.360
_cell_length_c 6.416
_cell_angle_alpha 90.00
_cell_angle_beta 123.78
_cell_angle_gamma 90.00
_space_group_name_H-M_alt 'C 1 2/c 1'
_space_group_IT_number 15
loop_
_space_group_symop_operation_xyz
'x,y,z'
'-x,-y,-z'
'-x,y,-z+1/2'
'x,-y,z+1/2'
'x+1/2,y+1/2,z'
'-x+1/2,-y+1/2,-z'
'-x+1/2,y+1/2,-z+1/2'
'x+1/2,-y+1/2,z+1/2'
loop_
_atom_site_label
_atom_site_type_symbol
_atom_site_fract_x
_atom_site_fract_y
_atom_site_fract_z
Ca1 Ca 0.127 0.177 0.093
Ca2 Ca 0.199 0.442 0.265
Pt1 Pt 0.000 0.364 0.750
Rh1 Rh 0.000 0.003 0.250
```

energy relative to the elements	-588.0	meV/atom
crystal system	monoclinic
polymorph energy (0 for the lowest one)	0	meV per atom

***

Entry 3:
TcOsAu2F: optimized geometry, PBE.

The structure in CIF format:
```
data_TcOsAu2F
_cell_length_a 5.100
_cell_length_b 5.100
_cell_length_c 3.796
_cell_angle_alpha 90.00
_cell_angle_beta 90.00
_cell_angle_gamma 90.00
_space_group_name_H-M_alt 'P 4/m m m'
_space_group_IT_number 123
_space_group_name_Hall '-P 4 2'
loop_
_atom_site_label
_atom_site_type_symbol
_atom_site_fract_x
_atom_site_fract_y
_atom_site_fract_z
Tc1 Tc 0.000 0.000 0.000
Os1 Os 0.500 0.500 0.500
Au1 Au 0.000 0.500 0.000
F1 F 0.000 0.000 0.500
```

final energy	-4.8724	eV per atom
crystal system	tetragonal

***

Entry 4:
Sc2CuPb: optimized geometry, PBE.

The structure in CIF format:
```
data_Sc2CuPb
_cell_length_a 4.611
_cell_length_b 4.611
_cell_length_c 3.942
_cell_angle_alpha 90.00
_cell_angle_beta 90.00
_cell_angle_gamma 90.00
_space_group_name_H-M_alt 'P 4/m m m'
_space_group_IT_number 123
_space_group_name_Hall '-P 4 2'
loop_
_atom_site_label
_atom_site_type_symbol
_atom_site_fract_x
_atom_site_fract_y
_atom_site_fract_z
Sc1 Sc 0.000 0.500 0.000
Cu1 Cu 0.000 0.000 0.500
Pb1 Pb 0.500 0.500 0.500
```

energy relative to the elements	-254.4	meV/atom
crystal system	tetragonal